1.
The following is a DFT calculation (GGA-PBE) of an optimized crystal structure of La5RuAu2.

Results
crystal system = orthorhombic
formation energy = -4.50 eV/f.u.

```
La5RuAu2
1.0
4.234 0.000 0.000
0.000 9.085 0.000
0.000 0.000 12.422
La Au Ru
10 4 2
direct
0.000 0.500 0.000 La
0.500 0.322 0.579 La
0.000 0.356 0.300 La
0.000 0.644 0.700 La
0.500 0.178 0.079 La
0.000 0.000 0.500 La
0.500 0.822 0.921 La
0.000 0.856 0.200 La
0.500 0.678 0.421 La
0.000 0.144 0.800 La
0.500 0.928 0.676 Au
0.500 0.428 0.824 Au
0.500 0.072 0.324 Au
0.500 0.572 0.176 Au
0.000 0.000 0.000 Ru
0.000 0.500 0.500 Ru
```

***

2.
The following is a DFT calculation (GGA-PBE) of an optimized crystal structure of NaIn5Sn3.

Results
crystal system = hexagonal
formation energy = -0.15 eV/f.u.

```
NaIn5Sn3
1.0
-0.393 5.913 -3.088
-7.610 1.995 4.790
8.272 2.291 3.333
In Sn Na
10 6 2
direct
0.250 0.331 0.332 In
0.000 0.333 0.667 In
0.750 0.000 0.332 In
0.000 0.667 0.333 In
0.750 0.332 0.000 In
0.500 0.667 0.333 In
0.750 0.669 0.668 In
0.500 0.333 0.667 In
0.250 0.000 0.668 In
0.250 0.668 0.000 In
0.750 0.000 0.661 Sn
0.250 0.000 0.339 Sn
0.250 0.339 0.000 Sn
0.750 0.338 0.339 Sn
0.750 0.661 0.000 Sn
0.250 0.662 0.661 Sn
0.500 0.000 0.000 Na
0.000 0.000 0.000 Na
```

***

3.
The following is a DFT calculation (GGA-PBE) of an optimized crystal structure of DyHoEr2Tm2.

Results
crystal system = orthorhombic
formation energy = 1.72 eV/f.u.

```
DyHoEr2Tm2
1.0
3.343 0.000 0.000
0.000 6.467 0.000
0.000 0.000 17.436
Er Tm Dy Ho
4 4 2 2
direct
0.000 0.231 0.817 Er
0.500 0.269 0.317 Er
0.500 0.731 0.683 Er
0.000 0.769 0.183 Er
0.000 0.271 0.148 Tm
0.500 0.229 0.648 Tm
0.000 0.729 0.852 Tm
0.500 0.771 0.352 Tm
0.500 0.500 0.000 Dy
0.000 0.000 0.500 Dy
0.500 0.500 0.500 Ho
0.000 0.000 0.000 Ho
```

***

4.
The following is a DFT calculation (GGA-PBE) of an optimized crystal structure of CaSbS2O8.

Results
crystal system = trigonal
uncorrected formation energy = -1529 meV per atom

```
CaSbS2O8
1.0
-4.093 2.619 -2.235
-0.211 -1.386 5.162
3.099 6.422 1.851
O Sb S Ca
8 1 2 1
direct
0.819 0.637 0.220 O
0.181 0.819 0.780 O
0.667 0.333 0.490 O
0.637 0.819 0.780 O
0.333 0.667 0.510 O
0.363 0.181 0.220 O
0.181 0.363 0.780 O
0.819 0.181 0.220 O
0.000 0.000 0.500 Sb
0.667 0.333 0.291 S
0.333 0.667 0.709 S
0.000 0.000 0.000 Ca
```

***

5.
The following is a DFT calculation (GGA-PBE) of an optimized crystal structure of LaBI2N.

Results
energy above the lowest structure with this stoichiometry = 14.340 kcal/mol of atoms
crystal system = tetragonal
uncorrected formation energy = 635 meV per atom

```
LaBI2N
1.0
-6.207 1.725 0.727
0.270 -1.667 6.260
1.191 3.873 0.980
N I B La
1 2 1 1
direct
0.000 0.000 0.500 N
0.500 0.000 0.000 I
0.000 0.500 0.000 I
0.500 0.500 0.500 B
0.000 0.000 0.000 La
```

***

6.
The following is a DFT calculation (GGA-PBE) of an optimized crystal structure of TbPrSi3.

Results
crystal system = orthorhombic
uncorrected formation energy = -705 meV per atom

```
TbPrSi3
1.0
-3.004 1.315 2.263
1.559 -2.204 3.351
6.002 10.915 1.625
Si Tb Pr
6 2 2
direct
0.250 0.475 0.949 Si
0.250 0.679 0.357 Si
0.750 0.321 0.643 Si
0.750 0.525 0.051 Si
0.250 0.379 0.759 Si
0.750 0.621 0.241 Si
0.750 0.203 0.405 Tb
0.250 0.797 0.595 Tb
0.250 0.070 0.141 Pr
0.750 0.930 0.859 Pr
```

***

7.
The following is a DFT calculation (GGA-PBE) of an optimized crystal structure of Ac2LaEr.

Results
energy above the lowest structure with this stoichiometry = 2.346 kcal/mol of atoms
crystal system = cubic
formation energy = 0.54 eV/f.u.

```
Ac2LaEr
1.0
-2.890 -0.269 5.333
1.063 -4.615 3.800
3.053 0.958 5.160
Ac La Er
2 1 1
direct
0.750 0.750 0.750 Ac
0.250 0.250 0.250 Ac
0.500 0.500 0.500 La
0.000 0.000 0.000 Er
```

***

8.
The following is a DFT calculation (GGA-PBE) of an optimized crystal structure of BaH2Pd2.

Results
energy above the lowest structure with this stoichiometry = 0.000 kcal/mol of atoms
crystal system = monoclinic

```
BaH2Pd2
1.0
6.281 -1.695 -0.007
-2.962 5.792 -0.007
-1.415 -1.747 5.319
Pd H Ba
4 4 2
direct
0.222 0.364 0.355 Pd
0.778 0.636 0.645 Pd
0.636 0.778 0.145 Pd
0.364 0.222 0.855 Pd
0.474 0.526 0.750 H
0.164 0.836 0.750 H
0.836 0.164 0.250 H
0.526 0.474 0.250 H
0.840 0.160 0.750 Ba
0.160 0.840 0.250 Ba
```

***

9.
The following is a DFT calculation (GGA-PBE) of an optimized crystal structure of CaPmTm4S8.

Results
crystal system = trigonal
uncorrected formation energy = -1986 meV per atom

```
CaPmTm4S8
1.0
-1.883 0.312 7.781
3.889 -4.635 5.251
5.167 3.349 5.241
Ca Tm Pm S
1 4 1 8
direct
0.374 0.374 0.879 Ca
0.002 0.494 0.502 Tm
0.494 0.002 0.502 Tm
0.002 0.002 0.502 Tm
0.625 0.625 0.124 Tm
0.002 0.002 0.995 Pm
0.758 0.758 0.726 S
0.246 0.246 0.728 S
0.230 0.751 0.267 S
0.781 0.246 0.728 S
0.238 0.238 0.285 S
0.246 0.781 0.728 S
0.751 0.230 0.267 S
0.751 0.751 0.267 S
```

***

10.
The following is a DFT calculation (GGA-PBE) of an optimized crystal structure of CeTm5Se6.

Results
crystal system = monoclinic
uncorrected formation energy = -1688 meV per atom

```
CeTm5Se6
1.0
0.204 6.608 -2.362
-3.793 -4.847 -3.376
-4.024 0.902 5.671
Se Tm Ce
6 5 1
direct
0.571 0.915 0.743 Se
0.915 0.571 0.743 Se
0.259 0.259 0.747 Se
0.741 0.741 0.253 Se
0.429 0.085 0.257 Se
0.085 0.429 0.257 Se
0.163 0.837 0.500 Tm
0.333 0.667 0.000 Tm
0.667 0.333 0.000 Tm
0.837 0.163 0.500 Tm
0.500 0.500 0.500 Tm
0.000 0.000 0.000 Ce
```

***

Number 1: calculated total energy -5.621 eV per atom, magnetic moment 0.00 Bohr magnetons per cell. Number 2: calculated total energy -3.018 eV per atom, magnetic moment 0.00 Bohr magnetons per cell. Number 3: calculated total energy -4.254 eV per atom, magnetic moment 0.00 Bohr magnetons per cell. Number 4: calculated total energy -6.033 eV per atom, magnetic moment 1.00 Bohr magnetons per cell. Number 5: calculated total energy -3.972 eV per atom, magnetic moment 0.31 Bohr magnetons per cell. Number 6: calculated total energy -5.840 eV per atom, magnetic moment 0.00 Bohr magnetons per cell. Number 7: calculated total energy -4.292 eV per atom, magnetic moment 0.00 Bohr magnetons per cell. Number 8: calculated total energy -4.217 eV per atom, magnetic moment 0.00 Bohr magnetons per cell. Number 9: calculated total energy -6.104 eV per atom, magnetic moment 0.00 Bohr magnetons per cell. Number 10: calculated total energy -5.788 eV per atom, magnetic moment 0.88 Bohr magnetons per cell.